Compound: Hf2CoOs
Source: OQMD via LeMat-Bulk
Functional: PBE
Structure: relaxed

Geometry as POSCAR:
```
Hf2CoOs
1.0
0.000 3.180 3.180
3.180 0.000 3.180
3.180 3.180 0.000
Hf Co Os
2 1 1
Direct
0.000 0.000 0.000 Hf
0.250 0.250 0.250 Hf
0.750 0.750 0.750 Co
0.500 0.500 0.500 Os
```

## Properties
**Total energy**: -38.42 eV/f.u.
**Formation enthalpy at 0 K**: -17.1 kJ/mol of formula units
**Mass density**: 15.64 Mg/m³